## PrCu2GeP (PBE)

Data for a relaxed structure of PrCu2GeP.

The space group is I4mm (No. 107) and the conventional cell measures 4.103, 4.103 and 10.208 Å, with angles of 90.00, 90.00 and 90.00 degrees. The asymmetric unit holds Pr at (0.000, 0.000, 0.000), Cu at (0.000, 0.500, 0.255), Ge at (0.000, 0.000, 0.622) and P at (0.000, 0.000, 0.378).

Its volume is 17.182 Å³ per atom. The total energy comes out at -25.14 eV/f.u. As for the crystal system: tetragonal.